(A)
The following is a PBE+U calculation of a relaxed CaV2F crystal, from the Alexandria database.

Size of the total moment (μB per cell): 9.3
Crystal system: cubic

a = 5.007 Å, b = 5.007 Å, c = 5.007 Å
α = 60.00°, β = 60.00°, γ = 60.00°
Positions (direct):
V 0.750 0.750 0.750
F 0.000 0.000 0.000
Ca 0.500 0.500 0.500
V 0.250 0.250 0.250



(B)
The following is a PBE+U calculation of a relaxed CaV2F crystal, from the Alexandria database.

Size of the total moment (μB per cell): 13.8
Crystal system: tetragonal

a = 6.584 Å, b = 6.584 Å, c = 6.705 Å
α = 60.59°, β = 60.59°, γ = 90.00°
Positions (direct):
Ca 0.000 0.000 0.000
V 0.375 0.125 0.250
F 0.500 0.500 0.000
F 0.250 0.750 0.500
Ca 0.750 0.250 0.500
V 0.375 0.625 0.750
V 0.875 0.625 0.750
V 0.375 0.625 0.250



(B) is favored, and the nearest alternative lies 713 meV per atom above it.



(A)
The following is a PBE+U calculation of a relaxed Ca3WF crystal, from the Alexandria database.

Size of the total moment (μB per cell): 5.9
Crystal system: cubic

a = 6.107 Å, b = 6.107 Å, c = 6.107 Å
α = 90.00°, β = 90.00°, γ = 90.00°
Positions (direct):
Ca 0.000 0.500 0.000
W 0.000 0.000 0.000
Ca 0.500 0.000 0.000
F 0.500 0.500 0.500
Ca 0.000 0.000 0.500



(B)
The following is a PBE+U calculation of a relaxed Ca3WF crystal, from the Alexandria database.

Size of the total moment (μB per cell): 4.8
Crystal system: cubic

a = 5.053 Å, b = 5.053 Å, c = 5.053 Å
α = 90.00°, β = 90.00°, γ = 90.00°
Positions (direct):
F 0.000 0.000 0.000
Ca 0.000 0.000 0.500
Ca 0.500 0.000 0.000
W 0.500 0.500 0.500
Ca 0.000 0.500 0.000



(B) is favored, and the nearest alternative lies 963 meV per atom above it.



(A)
The following is a PBE+U calculation of a relaxed CaWF5 crystal, from the Alexandria database.

Size of the total moment (μB per cell): 6.0
Crystal system: monoclinic

a = 5.845 Å, b = 5.845 Å, c = 7.975 Å
α = 70.32°, β = 70.32°, γ = 72.40°
Positions (direct):
W 0.000 0.000 0.500
F 0.217 0.268 0.373
F 0.314 0.705 0.533
F 0.268 0.217 0.873
F 0.705 0.314 0.033
W 0.000 0.000 0.000
F 0.890 0.110 0.750
Ca 0.533 0.467 0.750
F 0.783 0.732 0.627
F 0.295 0.686 0.967
F 0.686 0.295 0.467
F 0.732 0.783 0.127
F 0.110 0.890 0.250
Ca 0.467 0.533 0.250



(B)
The following is a PBE+U calculation of a relaxed CaWF5 crystal, from the Alexandria database.

Size of the total moment (μB per cell): 12.0
Crystal system: monoclinic

a = 10.839 Å, b = 5.715 Å, c = 7.945 Å
α = 70.33°, β = 90.00°, γ = 90.00°
Positions (direct):
F 0.107 0.638 0.999
W 0.247 0.895 0.399
F 0.102 0.141 0.300
F 0.132 0.193 0.853
F 0.898 0.859 0.700
Ca 0.015 0.527 0.747
F 0.868 0.807 0.147
F 0.613 0.395 0.058
F 0.680 0.138 0.842
F 0.393 0.638 0.499
W 0.747 0.105 0.101
F 0.398 0.141 0.800
F 0.180 0.862 0.658
F 0.887 0.395 0.558
F 0.113 0.605 0.442
F 0.820 0.138 0.342
F 0.893 0.362 0.001
Ca 0.985 0.473 0.253
F 0.632 0.807 0.647
F 0.607 0.362 0.501
F 0.602 0.859 0.200
Ca 0.485 0.527 0.247
W 0.253 0.895 0.899
F 0.387 0.605 0.942
W 0.753 0.105 0.601
F 0.320 0.862 0.158
F 0.368 0.193 0.353
Ca 0.515 0.473 0.753



(A) is favored, and the nearest alternative lies 11 meV per atom above it.



(A)
The following is a PBE+U calculation of a relaxed CaWF3 crystal, from the Alexandria database.

Size of the total moment (μB per cell): 3.6
Crystal system: cubic

a = 4.519 Å, b = 4.519 Å, c = 4.519 Å
α = 90.00°, β = 90.00°, γ = 90.00°
Positions (direct):
W 0.000 0.000 0.000
F 0.000 0.500 0.000
Ca 0.500 0.500 0.500
F 0.500 0.000 0.000
F 0.000 0.000 0.500



(B)
The following is a PBE+U calculation of a relaxed CaWF3 crystal, from the Alexandria database.

Size of the total moment (μB per cell): 5.0
Crystal system: cubic

a = 4.441 Å, b = 4.441 Å, c = 4.441 Å
α = 90.00°, β = 90.00°, γ = 90.00°
Positions (direct):
F 0.000 0.000 0.500
W 0.500 0.500 0.500
F 0.000 0.500 0.000
Ca 0.000 0.000 0.000
F 0.500 0.000 0.000



(B) is favored, and the nearest alternative lies 198 meV per atom above it.